First-principles (PBE) data for crystalline La9Er2Th at its relaxed geometry, as listed in Alexandria via LeMat-Bulk.

```
La9Er2Th
1.0
-2.111 -1.252 4.586
3.431 -3.874 0.521
9.859 9.698 7.188
La Th Er
9 1 2
Cartesian
0.556 0.959 3.468
7.191 7.486 8.305
3.967 0.690 4.965
6.645 2.912 3.855
7.211 3.881 7.330
3.327 -0.352 1.436
9.962 6.175 6.273
3.874 4.223 5.887
0.660 -2.563 2.554
0.000 0.000 0.000
6.556 6.449 4.780
3.303 3.248 2.408
```

Computed properties:
Spin magnetization, μB/f.u.: 0.00
DOS(E_F), states/eV per atom: 1.678
Calculated volume, Å³ per atom: 35.14
Symmetry: P4/mmm (123)

---

First-principles (PBE) data for crystalline La2ErTmTh at its relaxed geometry, as listed in Alexandria via LeMat-Bulk.

```
La2ErTmTh
1.0
-5.132 -1.073 3.525
1.435 -9.089 -0.678
3.066 2.375 5.187
La Th Er Tm
4 2 2 2
Cartesian
-1.089 -2.055 5.648
-0.002 -4.962 6.347
-0.630 -2.826 1.687
0.458 -5.733 2.385
1.533 1.188 2.593
0.000 0.000 0.000
-2.786 -4.844 3.890
2.155 -2.944 4.143
-0.264 1.245 5.651
-1.803 0.057 3.061
```

Computed properties:
Spin magnetization, μB/f.u.: 0.00
DOS(E_F), states/eV per atom: 1.503
Calculated volume, Å³ per atom: 35.41
Symmetry: P2/c (13)

---

First-principles (PBE) data for crystalline LaEr5TmTh2 at its relaxed geometry, as listed in Alexandria via LeMat-Bulk.

```
LaEr5TmTh2
1.0
-0.113 3.899 -8.018
-6.401 -5.617 -2.641
-1.965 5.674 7.745
Er Th Tm La
10 4 2 2
Cartesian
-5.090 1.204 3.573
-2.769 1.297 -2.246
-5.960 -1.855 -2.861
-5.710 2.659 -0.669
-6.580 -0.400 -7.102
-2.519 5.811 -0.054
-3.390 2.752 -6.488
-1.899 4.356 4.188
0.000 0.000 0.000
-3.257 -0.859 -5.330
-0.828 1.746 -5.271
-2.456 -1.682 -1.957
-4.058 -0.036 -8.702
-5.686 -3.464 -5.388
-5.812 -0.401 -0.113
-2.668 4.357 -2.801
-5.868 1.549 -4.122
-2.611 2.408 1.208
```

Computed properties:
Spin magnetization, μB/f.u.: 0.00
DOS(E_F), states/eV per atom: 1.461
Calculated volume, Å³ per atom: 33.14
Symmetry: I4/mcm (140)

---

First-principles (PBE) data for crystalline LaEr3TmTh at its relaxed geometry, as listed in Alexandria via LeMat-Bulk.

```
LaEr3TmTh
1.0
-2.641 3.924 -1.759
-6.776 -3.625 2.086
4.400 6.269 7.379
La Er Th Tm
2 6 2 2
Cartesian
-4.812 4.197 5.728
-0.206 2.371 1.977
-1.348 3.720 6.702
-7.669 0.065 0.801
-2.897 1.566 4.224
2.651 6.502 6.904
-2.120 5.002 3.482
-3.669 2.848 1.004
-0.692 7.071 5.953
-4.325 -0.503 1.752
1.224 4.451 4.471
-6.242 2.117 3.234
```

Computed properties:
Spin magnetization, μB/f.u.: 0.00
DOS(E_F), states/eV per atom: 1.668
Calculated volume, Å³ per atom: 32.00
Symmetry: P2_1/m (11)

---

First-principles (PBE) data for crystalline La3Er2Tm6Th at its relaxed geometry, as listed in Alexandria via LeMat-Bulk.

```
La3Er2Tm6Th
1.0
6.174 -0.001 0.011
-3.086 5.347 0.011
-1.053 -1.823 11.564
Tm La Er Th
6 3 2 1
Cartesian
3.060 1.765 8.760
2.062 3.571 2.838
-1.025 1.758 2.826
-0.028 -0.048 8.747
0.000 3.532 8.760
2.035 -0.009 2.826
4.099 -0.018 5.793
-2.064 3.541 5.793
1.017 1.762 5.793
-0.001 3.565 0.011
3.088 1.781 0.011
0.000 0.000 0.000
```

Computed properties:
Spin magnetization, μB/f.u.: 0.00
DOS(E_F), states/eV per atom: 1.302
Calculated volume, Å³ per atom: 31.83
Symmetry: C2/m (12)

---

First-principles (PBE) data for crystalline LaEr2Tm4Th at its relaxed geometry, as listed in Alexandria via LeMat-Bulk.

```
LaEr2Tm4Th
1.0
5.059 0.000 0.000
0.000 4.952 0.962
0.000 3.067 10.654
Tm Er Th La
4 2 1 1
Cartesian
5.059 1.995 2.956
2.530 3.550 8.173
0.000 6.024 8.660
2.530 4.469 3.443
0.000 3.067 10.654
2.530 1.533 5.327
0.000 4.009 5.808
2.530 2.476 0.481
```

Computed properties:
Spin magnetization, μB/f.u.: 0.00
DOS(E_F), states/eV per atom: 1.629
Calculated volume, Å³ per atom: 31.50
Symmetry: Pmmm (47)

---

First-principles (PBE) data for crystalline La5Er2TmTh at its relaxed geometry, as listed in Alexandria via LeMat-Bulk.

```
La5Er2TmTh
1.0
-3.724 -3.677 -1.670
9.560 -3.565 -4.434
1.872 -5.875 8.759
La Th Er Tm
10 2 4 2
Cartesian
-0.440 -6.294 5.804
0.955 -2.988 4.448
8.178 -6.918 -3.006
5.744 -4.067 -3.853
4.858 -4.850 -0.155
1.057 -6.204 2.265
5.579 -7.113 3.219
5.847 -7.287 -6.031
1.945 -5.427 -1.424
3.095 -9.039 3.962
3.253 -2.321 -2.143
3.550 -7.956 0.564
4.610 -7.584 -2.618
3.148 -5.693 5.512
5.528 -10.458 1.662
2.189 -2.688 1.037
7.073 -7.284 0.265
-0.269 -2.996 -1.840
```

Computed properties:
Spin magnetization, μB/f.u.: 0.00
DOS(E_F), states/eV per atom: 1.435
Calculated volume, Å³ per atom: 35.24
Symmetry: Cmc2_1 (36)

---

First-principles (PBE) data for crystalline LaErTm3Th at its relaxed geometry, as listed in Alexandria via LeMat-Bulk.

```
LaErTm3Th
1.0
5.041 0.000 0.000
0.000 7.850 -1.215
0.000 -3.133 10.138
La Tm Th Er
2 6 2 2
Cartesian
3.781 4.665 6.108
1.260 0.052 2.815
3.781 2.358 1.628
3.781 6.677 -0.627
3.781 1.237 5.067
1.260 -1.960 9.550
1.260 2.359 7.294
1.260 3.480 3.856
3.781 0.234 8.442
1.260 4.483 0.480
3.781 5.664 2.706
1.260 -0.947 6.217
```

Computed properties:
Spin magnetization, μB/f.u.: 0.00
DOS(E_F), states/eV per atom: 1.651
Calculated volume, Å³ per atom: 31.83
Symmetry: P2_1/m (11)

---

First-principles (PBE) data for crystalline LaYEr3Th at its relaxed geometry, as listed in Alexandria via LeMat-Bulk.

```
LaYEr3Th
1.0
5.067 0.000 0.000
0.000 7.907 -1.183
0.000 -3.212 10.181
Y La Er Th
2 2 6 2
Cartesian
1.267 -0.984 6.254
3.800 5.680 2.744
1.267 0.047 2.814
3.800 4.648 6.184
3.800 1.231 5.103
1.267 3.464 3.895
3.800 6.718 -0.603
3.800 2.358 1.643
1.267 2.338 7.355
1.267 -2.023 9.601
3.800 0.196 8.503
1.267 4.500 0.495
```

Computed properties:
Spin magnetization, μB/f.u.: 0.00
DOS(E_F), states/eV per atom: 1.678
Calculated volume, Å³ per atom: 32.39
Symmetry: P2_1/m (11)

---

First-principles (PBE) data for crystalline LaYEr5Th2 at its relaxed geometry, as listed in Alexandria via LeMat-Bulk.

```
LaYEr5Th2
1.0
-1.835 -5.345 6.895
-0.428 -6.982 -5.527
8.508 4.921 0.316
Er La Y Th
10 2 2 4
Cartesian
-1.132 -6.164 0.684
0.365 -9.654 0.762
4.869 -4.058 0.535
1.319 -6.380 -2.209
5.880 2.247 0.921
0.421 -6.623 4.120
4.925 -1.028 3.893
1.375 -3.349 1.148
0.000 0.000 0.000
5.824 -0.784 -2.436
3.688 -0.622 0.500
2.556 -6.785 1.184
3.474 -4.113 -2.264
2.770 -3.294 3.947
-1.883 -9.030 2.660
-1.077 -8.194 -2.242
-0.381 -3.297 -1.292
-1.186 -4.133 3.610
```

Computed properties:
Spin magnetization, μB/f.u.: 0.00
DOS(E_F), states/eV per atom: 1.466
Calculated volume, Å³ per atom: 33.32
Symmetry: I4/mcm (140)

---

First-principles (PBE) data for crystalline La2Y6Er2Th at its relaxed geometry, as listed in Alexandria via LeMat-Bulk.

```
La2Y6Er2Th
1.0
-5.119 -2.309 -2.403
5.130 -1.063 -3.139
1.561 -9.871 5.022
Th Er La Y
1 2 2 6
Cartesian
0.781 -4.936 2.511
2.224 -1.416 -2.931
-2.213 -1.955 -2.612
2.399 -6.425 -0.376
-0.827 -6.817 -0.144
2.104 -3.009 -0.038
1.258 -8.767 2.668
-0.531 -10.234 -0.482
2.882 -9.819 -0.727
-1.310 -3.424 0.207
0.315 -4.475 -3.188
```

Computed properties:
Spin magnetization, μB/f.u.: 0.00
DOS(E_F), states/eV per atom: 1.425
Calculated volume, Å³ per atom: 34.04
Symmetry: C2/m (12)

---

First-principles (PBE) data for crystalline La2Y6Er3Th at its relaxed geometry, as listed in Alexandria via LeMat-Bulk.

```
La2Y6Er3Th
1.0
6.227 0.001 0.011
-3.111 5.395 0.011
-1.059 -1.833 11.633
Y La Er Th
6 2 3 1
Cartesian
-0.031 -0.054 8.696
0.011 3.567 8.707
-1.027 1.771 2.948
3.084 1.792 8.707
2.047 -0.004 2.948
2.089 3.616 2.959
0.003 3.596 0.011
3.113 1.800 0.011
1.029 1.781 5.828
-2.082 3.578 5.828
4.140 -0.015 5.828
0.000 0.000 0.000
```

Computed properties:
Spin magnetization, μB/f.u.: 0.00
DOS(E_F), states/eV per atom: 1.557
Calculated volume, Å³ per atom: 32.59
Symmetry: C2/m (12)

---

First-principles (PBE) data for crystalline LaYEr2Th at its relaxed geometry, as listed in Alexandria via LeMat-Bulk.

```
LaYEr2Th
1.0
5.663 0.000 0.000
0.000 8.566 1.468
0.000 -1.197 6.954
Th Er La Y
2 4 2 2
Cartesian
2.831 -0.299 1.738
2.832 -0.898 5.215
2.831 2.754 0.477
2.832 4.615 7.944
2.831 5.214 4.467
2.832 2.155 3.954
0.000 0.000 0.000
0.000 -0.599 3.477
5.663 3.385 5.949
0.000 3.984 2.472
```

Computed properties:
Spin magnetization, μB/f.u.: 0.00
DOS(E_F), states/eV per atom: 1.716
Calculated volume, Å³ per atom: 34.73
Symmetry: P2/m (10)

---

First-principles (PBE) data for crystalline La3Y6ErTh2 at its relaxed geometry, as listed in Alexandria via LeMat-Bulk.

```
La3Y6ErTh2
1.0
-3.800 4.847 -1.076
1.489 -3.897 -4.657
-8.491 -6.997 4.542
Y La Th Er
6 3 2 1
Cartesian
-7.018 -5.053 1.971
-7.274 -6.055 -1.469
-3.783 -0.993 -3.163
-1.748 -2.934 -0.928
-3.528 0.009 0.277
-9.054 -3.112 -0.264
-3.634 -5.944 -1.792
-5.401 -3.023 -0.596
-7.168 -0.102 0.601
-2.036 1.931 -2.270
-0.274 -0.981 -3.463
0.000 0.000 0.000
```

Computed properties:
Spin magnetization, μB/f.u.: 0.00
DOS(E_F), states/eV per atom: 1.332
Calculated volume, Å³ per atom: 33.07
Symmetry: C2/m (12)

---

First-principles (PBE) data for crystalline La5Y2ErTh at its relaxed geometry, as listed in Alexandria via LeMat-Bulk.

```
La5Y2ErTh
1.0
5.515 0.000 0.000
-2.757 10.880 0.000
0.000 0.000 10.705
Y La Th Er
4 10 2 2
Cartesian
0.000 2.435 8.176
2.757 8.445 2.823
0.000 2.433 2.705
2.757 8.447 8.057
2.757 10.872 0.087
0.000 8.109 0.088
0.000 6.025 3.381
2.757 4.853 2.149
0.000 0.007 5.440
0.000 6.027 7.502
2.757 4.855 8.734
0.000 10.879 2.764
2.757 2.771 5.440
2.757 0.000 8.116
0.000 4.611 0.089
2.757 6.269 5.441
2.757 2.238 0.087
0.000 8.641 5.440
```

Computed properties:
Spin magnetization, μB/f.u.: 0.00
DOS(E_F), states/eV per atom: 1.465
Calculated volume, Å³ per atom: 35.68
Symmetry: Cmcm (63)

---

First-principles (PBE) data for crystalline LaY6Er2Th at its relaxed geometry, as listed in Alexandria via LeMat-Bulk.

```
LaY6Er2Th
1.0
9.144 -1.975 -2.050
0.866 8.562 -1.919
0.866 -2.235 8.485
Er Y La Th
4 12 2 2
Cartesian
5.474 -0.081 1.025
9.973 2.336 3.534
5.401 4.433 3.490
0.902 2.015 0.982
2.157 4.421 -1.309
5.007 -0.709 6.094
8.718 -0.070 5.825
2.070 4.700 2.545
4.146 6.811 1.171
4.234 2.969 0.749
1.297 -0.777 6.023
6.729 -2.460 3.345
8.806 -0.349 1.970
5.869 5.060 -1.579
6.641 1.382 3.766
9.579 5.129 -1.508
7.724 -3.387 6.629
3.152 7.738 -2.113
3.152 1.679 3.725
7.724 2.672 0.791
```

Computed properties:
Spin magnetization, μB/f.u.: 0.00
DOS(E_F), states/eV per atom: 1.537
Calculated volume, Å³ per atom: 33.10
Symmetry: C2/c (15)

---

First-principles (PBE) data for crystalline La3Y6Er2Th at its relaxed geometry, as listed in Alexandria via LeMat-Bulk.

```
La3Y6Er2Th
1.0
-2.940 5.491 -0.436
-3.285 -5.310 -0.011
1.254 0.425 11.844
Er La Y Th
2 3 6 1
Cartesian
-3.055 1.892 -0.295
-3.170 -1.711 -0.153
-2.486 0.303 5.698
-2.371 3.898 5.557
-2.600 -3.292 5.839
-1.286 -1.637 2.849
-0.603 0.367 8.841
-4.369 0.240 2.555
-1.173 1.933 2.709
-3.799 -1.327 8.687
-3.685 2.243 8.547
0.000 0.000 0.000
```

Computed properties:
Spin magnetization, μB/f.u.: 0.00
DOS(E_F), states/eV per atom: 1.381
Calculated volume, Å³ per atom: 33.02
Symmetry: C2/m (12)

---

First-principles (PBE) data for crystalline La2YErTh at its relaxed geometry, as listed in Alexandria via LeMat-Bulk.

```
La2YErTh
1.0
-4.402 -4.380 1.285
6.396 -6.375 0.178
-0.467 2.258 6.098
La Th Er Y
4 2 2 2
Cartesian
0.897 -5.546 6.080
-1.364 -3.577 5.045
0.631 -2.952 1.481
2.892 -4.921 2.517
0.000 0.000 0.000
-0.234 1.129 3.049
-0.547 -6.234 2.673
2.075 -2.264 4.889
-2.476 -0.422 5.194
-2.392 -1.700 2.189
```

Computed properties:
Spin magnetization, μB/f.u.: 0.00
DOS(E_F), states/eV per atom: 1.529
Calculated volume, Å³ per atom: 35.89
Symmetry: P2/c (13)

---

First-principles (PBE) data for crystalline LaErThZn at its relaxed geometry, as listed in Alexandria via LeMat-Bulk.

```
LaErThZn
1.0
3.612 0.000 0.000
0.000 3.612 0.000
0.000 0.000 8.673
Er Zn Th La
1 1 1 1
Cartesian
0.000 0.000 4.629
1.806 1.806 2.951
1.806 1.806 7.018
0.000 0.000 0.881
```

Computed properties:
Spin magnetization, μB/f.u.: 0.00
DOS(E_F), states/eV per atom: 1.327
Calculated volume, Å³ per atom: 28.29
Symmetry: P4mm (99)

---

First-principles (PBE) data for crystalline LaErThZr at its relaxed geometry, as listed in Alexandria via LeMat-Bulk.

```
LaErThZr
1.0
-4.792 0.544 2.709
-3.251 -4.407 0.782
-0.574 -2.149 5.065
Th Er La Zr
1 1 1 1
Cartesian
-4.308 -3.006 4.278
-6.463 -4.509 6.417
0.000 0.000 0.000
-2.154 -1.503 2.139
```

Computed properties:
Spin magnetization, μB/f.u.: 0.00
DOS(E_F), states/eV per atom: 1.156
Calculated volume, Å³ per atom: 29.92
Symmetry: F-43m (216)

---

Values for ΔH_f (0 K), meV per atom, ordered as above
25; 325; 337; 38; 24; 40; 129; 38; 38; 328; 181; 34; 284; 17; 127; 144; 20; 336; -150; 154